No. 1
## Li2IrPt (GGA-PBEsol)

Data for crystalline Li2IrPt at its relaxed geometry.

Calculated values
**Fermi-level density of states**: 0.61 states/eV per atom
**Final energy**: -44.3 eV/cell
**Relative energy among the computed polymorphs**: 11 meV/atom
**Calculated formation energy**: -35 kJ per mole of atoms

Structure (CIF):
```
data_Li2IrPt
_chemical_formula_sum 'Li4 Ir2 Pt2'
_space_group_name_H-M_alt 'C 1 2/m 1'
_space_group_IT_number 12
_cell_length_a 8.675
_cell_length_b 2.636
_cell_length_c 4.697
_cell_angle_alpha 90.00
_cell_angle_beta 99.10
_cell_angle_gamma 90.00
loop_
_space_group_symop_operation_xyz
'x,y,z'
'-x,-y,-z'
'-x,y,-z'
'x,-y,z'
'x+1/2,y+1/2,z'
'-x+1/2,-y+1/2,-z'
'-x+1/2,y+1/2,-z'
'x+1/2,-y+1/2,z'
loop_
_atom_site_label
_atom_site_fract_x
_atom_site_fract_y
_atom_site_fract_z
Li1 0.249 0.000 0.252
Ir1 0.000 0.000 0.500
Pt1 0.000 0.500 0.000
```


No. 2
## Li2IrPt (GGA-PBEsol)

Data for crystalline Li2IrPt at its relaxed geometry.

Calculated values
**Fermi-level density of states**: 0.52 states/eV per atom
**Final energy**: -22.1 eV/cell
**Relative energy among the computed polymorphs**: 36 meV/atom
**Calculated formation energy**: -33 kJ per mole of atoms

Structure (CIF):
```
data_Li2IrPt
_chemical_formula_sum 'Li2 Ir1 Pt1'
_space_group_name_H-M_alt 'P 1 2/m 1'
_space_group_IT_number 10
_cell_length_a 2.613
_cell_length_b 4.317
_cell_length_c 4.733
_cell_angle_alpha 90.00
_cell_angle_beta 91.65
_cell_angle_gamma 90.00
loop_
_space_group_symop_operation_xyz
'x,y,z'
'-x,-y,-z'
'-x,y,-z'
'x,-y,z'
loop_
_atom_site_label
_atom_site_fract_x
_atom_site_fract_y
_atom_site_fract_z
Li1 0.232 0.000 0.245
Ir1 0.500 0.500 0.000
Pt1 0.000 0.500 0.500
```